1.
Density functional theory data (PBE) for a geometry-optimized BaZrPO structure.

Unit cell a=4.5646 b=4.5646 c=9.4275 alpha=90.00 beta=90.00 gamma=90.00
With the nearest neighbours (Å) after each atom.
Positions (direct):
Ba 0.2500 0.7500 0.0000  4 P 3.12, 4 Ba 3.23
Ba 0.7500 0.2500 0.0000  4 P 3.12, 4 Ba 3.23
Zr 0.2500 0.2500 0.4813  4 O 2.29, 1 P 2.42
Zr 0.7500 0.7500 0.5187  4 O 2.29, 1 P 2.42
P 0.2500 0.2500 0.2249  1 Zr 2.42
P 0.7500 0.7500 0.7751  1 Zr 2.42
O 0.2500 0.7500 0.5000  4 Zr 2.29
O 0.7500 0.2500 0.5000  4 Zr 2.29

Summary:
* total magnetization: 0.0037 μB per atom
* raw total energy: -51.269 eV per cell

2.
Density functional theory data (PBE) for a geometry-optimized BaPaO3 structure.

Unit cell a=6.7029 b=6.7029 c=6.7029 alpha=55.93 beta=55.93 gamma=55.93
With the nearest neighbours (Å) after each atom.
Positions (direct):
Ba 0.1311 0.1311 0.1311  6 O 2.63-2.84
Ba 0.8689 0.8689 0.8689  6 O 2.63-2.84
Pa 0.3482 0.3482 0.3482  6 O 2.30-2.35
Pa 0.6518 0.6518 0.6518  6 O 2.30-2.35
O 0.0468 0.4735 0.6990  2 Pa 2.30-2.35
O 0.3010 0.9532 0.5265  2 Pa 2.30-2.35
O 0.4735 0.6990 0.0468  2 Pa 2.30-2.35
O 0.5265 0.3010 0.9532  2 Pa 2.30-2.35
O 0.6990 0.0468 0.4735  2 Pa 2.30-2.35
O 0.9532 0.5265 0.3010  2 Pa 2.30-2.35

Summary:
* total magnetization: 0.2000 μB per atom
* raw total energy: -80.935 eV per cell

3.
Density functional theory data (PBE) for a geometry-optimized Ba2Pa2O5 structure.

Unit cell a=4.5366 b=4.5366 c=8.8226 alpha=90.00 beta=90.00 gamma=90.00
With the nearest neighbours (Å) after each atom.
Positions (direct):
Ba 0.0000 0.0000 0.0000  8 O 3.18
Ba 0.0000 0.0000 0.5000  12 O 3.14-3.21
Pa 0.5000 0.5000 0.2443  5 O 2.26-2.27
Pa 0.5000 0.5000 0.7557  5 O 2.26-2.27
O 0.0000 0.5000 0.2532  2 Pa 2.27
O 0.0000 0.5000 0.7468  2 Pa 2.27
O 0.5000 0.0000 0.2532  2 Pa 2.27
O 0.5000 0.0000 0.7468  2 Pa 2.27
O 0.5000 0.5000 0.5000  2 Pa 2.26

Summary:
* total magnetization: 0.2242 μB per atom
* raw total energy: -69.900 eV per cell

Question: Which value of total magnetization does entry 3 give?
Answer: 0.2242 μB per atom